An optimized crystal structure of CeMg2Tl. Source: the Alexandria database, functional PBE-GGA.

Properties
**D(E_F)**: 8.4 states/eV/f.u.
**Excess energy over the best structure of this formula in the dataset**: 19.7 meV per atom
**Total DFT energy (no corrections)**: -2.9746 eV/atom
**Formation energy**: -0.102 eV/atom

Cell lengths 4.8553, 6.3514, 6.9237 Å; angles 90.00, 90.00, 90.00 degrees
Element x y z (fractional)
1 Ce 0.2500 0.2500 0.0866
2 Ce 0.7500 0.7500 0.9134
3 Mg 0.2500 0.5070 0.6364
4 Mg 0.2500 0.9930 0.6364
5 Mg 0.7500 0.0070 0.3636
6 Mg 0.7500 0.4930 0.3636
7 Tl 0.2500 0.7500 0.2398
8 Tl 0.7500 0.2500 0.7602

An optimized crystal structure of CsBPb. Source: the Alexandria database, functional PBE-GGA.

Properties
**D(E_F)**: 1.5 states/eV/f.u.
**Total DFT energy (no corrections)**: -3.0439 eV/atom
**Formation energy**: 0.703 eV/atom

Cell lengths 8.3238, 4.1735, 11.7873 Å; angles 90.00, 90.00, 90.00 degrees
Element x y z (fractional)
1 Cs 0.0078 0.2500 0.2053
2 Cs 0.4922 0.7500 0.7053
3 Cs 0.5078 0.2500 0.2947
4 Cs 0.9922 0.7500 0.7947
5 B 0.1445 0.2500 0.5667
6 B 0.3555 0.7500 0.0667
7 B 0.6445 0.2500 0.9333
8 B 0.8555 0.7500 0.4333
9 Pb 0.1632 0.7500 0.4685
10 Pb 0.3368 0.2500 0.9685
11 Pb 0.6632 0.7500 0.0315
12 Pb 0.8368 0.2500 0.5315

An optimized crystal structure of Ho2Si4GePt3. Source: the Alexandria database, functional PBE-GGA.

Properties
**D(E_F)**: 3.3 states/eV/f.u.
**Formation energy without anion corrections**: -864 kJ/mol of formula units
**Total DFT energy (no corrections)**: -6.2542 eV/atom

Cell lengths 4.2340, 4.2340, 9.8164 Å; angles 90.00, 90.00, 90.00 degrees
Element x y z (fractional)
1 Ho 0.0000 0.5000 0.2457
2 Ho 0.5000 0.0000 0.7543
3 Si 0.0000 0.0000 0.0000
4 Si 0.0000 0.5000 0.6384
5 Si 0.5000 0.0000 0.3616
6 Si 0.5000 0.5000 0.0000
7 Ge 0.0000 0.0000 0.5000
8 Pt 0.0000 0.5000 0.8778
9 Pt 0.5000 0.0000 0.1222
10 Pt 0.5000 0.5000 0.5000

An optimized crystal structure of Na2ZnAgH. Source: the Alexandria database, functional PBE-GGA.

Properties
**D(E_F)**: 1.4 states/eV/f.u.
**Excess energy over the best structure of this formula in the dataset**: 0.0 meV per atom
**Total DFT energy (no corrections)**: -1.9432 eV/atom

Cell lengths 4.8600, 4.8600, 3.8864 Å; angles 90.00, 90.00, 90.00 degrees
Element x y z (fractional)
1 Na 0.0000 0.5000 0.0000
2 Na 0.5000 0.0000 0.0000
3 Zn 0.0000 0.0000 0.5000
4 Ag 0.5000 0.5000 0.5000
5 H 0.5000 0.5000 0.0000

An optimized crystal structure of In2CuSi. Source: the Alexandria database, functional PBE-GGA.

Properties
**D(E_F)**: 1.7 states/eV/f.u.
**Formation energy without anion corrections**: 56 kJ/mol of formula units
**Total DFT energy (no corrections)**: -3.6030 eV/atom

Cell lengths 4.1529, 4.1486, 5.1352 Å; angles 90.00, 112.60, 90.00 degrees
Element x y z (fractional)
1 In 0.0000 0.0000 0.0000
2 In 0.2975 0.5000 0.5998
3 Cu 0.5877 0.5000 0.1728
4 Si 0.7027 0.0000 0.4176

An optimized crystal structure of Pr6SmHo3. Source: the Alexandria database, functional PBE-GGA.

Properties
**D(E_F)**: 15.5 states/eV/f.u.
**Excess energy over the best structure of this formula in the dataset**: 76.2 meV per atom
**Total DFT energy (no corrections)**: -4.4977 eV/atom
**Formation energy**: 0.215 eV/atom

Cell lengths 5.6066, 10.3478, 12.5656 Å; angles 90.00, 101.51, 90.00 degrees
Element x y z (fractional)
1 Pr 0.0050 0.1830 0.0024
2 Pr 0.0050 0.3170 0.5024
3 Pr 0.1096 0.0022 0.7685
4 Pr 0.1096 0.4978 0.2685
5 Pr 0.4176 0.1729 0.3524
6 Pr 0.4176 0.3271 0.8524
7 Pr 0.5824 0.6729 0.1476
8 Pr 0.5824 0.8271 0.6476
9 Pr 0.8904 0.5022 0.7315
10 Pr 0.8904 0.9978 0.2315
11 Pr 0.9950 0.6830 0.4976
12 Pr 0.9950 0.8170 0.9976
13 Sm 0.0000 0.0000 0.5000
14 Sm 0.0000 0.5000 0.0000
15 Ho 0.4189 0.6694 0.8653
16 Ho 0.4189 0.8306 0.3653
17 Ho 0.5000 0.0000 0.0000
18 Ho 0.5000 0.5000 0.5000
19 Ho 0.5811 0.1694 0.6347
20 Ho 0.5811 0.3306 0.1347

An optimized crystal structure of FeCu2. Source: the Alexandria database, functional PBE-GGA.

Properties
**D(E_F)**: 2.4 states/eV/f.u.
**Total DFT energy (no corrections)**: -5.0343 eV/atom
**Formation energy**: 0.517 eV/atom

Cell lengths 4.2335, 4.2335, 2.4852 Å; angles 90.00, 90.00, 90.00 degrees
Element x y z (fractional)
1 Fe 0.0000 0.0000 0.0000
2 Cu 0.0000 0.5000 0.5000
3 Cu 0.5000 0.0000 0.5000

An optimized crystal structure of Tl3Cu2Cl8. Source: the Alexandria database, functional PBE-GGA.

Properties
**D(E_F)**: 11.4 states/eV/f.u.
**Formation energy without anion corrections**: -810 kJ/mol of formula units
**Excess energy over the best structure of this formula in the dataset**: 29.3 meV per atom
**Total DFT energy (no corrections)**: -2.9586 eV/atom

Cell lengths 8.7659, 8.7659, 8.7659 Å; angles 50.60, 50.60, 50.60 degrees
Element x y z (fractional)
1 Tl 0.0000 0.0000 0.0000
2 Tl 0.1899 0.1899 0.1899
3 Tl 0.8101 0.8101 0.8101
4 Cu 0.4087 0.4087 0.4087
5 Cu 0.5913 0.5913 0.5913
6 Cl 0.2293 0.7304 0.7304
7 Cl 0.2696 0.2696 0.7707
8 Cl 0.2696 0.7707 0.2696
9 Cl 0.3106 0.3106 0.3106
10 Cl 0.6894 0.6894 0.6894
11 Cl 0.7304 0.2293 0.7304
12 Cl 0.7304 0.7304 0.2293
13 Cl 0.7707 0.2696 0.2696